Compound: RbCaIn2Br8
Source: Alexandria
Functional: PBE-GGA
Structure: relaxed

Structure (POSCAR):
```
RbCaIn2Br8
1.0
3.618 2.089 10.119
-3.618 2.089 10.119
0.000 -4.178 10.119
Rb Ca In Br
1 1 2 8
Cartesian
0.000 0.000 0.000
0.000 0.000 15.178
0.000 0.000 7.433
0.000 0.000 22.924
-2.383 0.197 13.479
-1.362 -1.966 16.878
0.000 0.000 10.021
1.021 -2.162 13.479
-1.021 2.162 16.878
0.000 0.000 20.335
1.362 1.966 13.479
2.383 -0.197 16.878
```

## Properties
Formation energy (no corrections) in meV per atom: -1172
DFT total energy in eV per cell: -35.89

---

Compound: RbCaInBr6
Source: Alexandria
Functional: PBE-GGA
Structure: relaxed

Structure (POSCAR):
```
RbCaInBr6
1.0
7.356 0.000 0.000
-3.678 6.371 0.000
0.000 0.000 15.168
Rb Ca In Br
2 2 2 12
Cartesian
0.000 0.000 0.000
0.000 0.000 7.584
0.000 4.247 3.792
3.678 2.124 11.376
0.000 4.247 11.376
3.678 2.124 3.792
-1.259 2.428 9.774
-2.205 4.066 12.978
1.259 2.428 12.978
-0.946 6.248 9.774
2.732 0.123 2.190
1.473 2.305 5.394
2.205 4.066 9.774
0.946 6.248 12.978
4.624 0.123 5.394
2.419 3.943 2.190
5.884 2.305 2.190
4.938 3.943 5.394
```

## Properties
Formation energy (no corrections) in meV per atom: -1448
DFT total energy in eV per cell: -57.55

---

Compound: Ca2ScInBr8
Source: Alexandria
Functional: PBE-GGA
Structure: relaxed

Structure (POSCAR):
```
Ca2ScInBr8
1.0
6.595 0.000 0.000
0.000 8.977 0.000
-0.092 0.000 6.938
Ca Sc In Br
2 1 1 8
Cartesian
0.000 2.234 0.000
0.000 6.743 0.000
3.251 0.000 3.469
3.251 4.488 3.469
1.433 4.488 6.020
1.548 0.000 5.683
1.752 1.871 2.355
1.752 7.105 2.355
4.751 1.871 4.584
4.751 7.105 4.584
4.955 0.000 1.255
5.070 4.488 0.918
```

## Properties
Formation energy (no corrections) in meV per atom: -1645
DFT total energy in eV per cell: -46.20

---

Compound: CaInSe2Br
Source: Alexandria
Functional: PBE-GGA
Structure: relaxed

Structure (POSCAR):
```
CaInSe2Br
1.0
5.313 0.000 0.000
0.000 5.313 0.000
0.000 0.000 5.391
Ca In Se Br
1 1 2 1
Cartesian
0.000 0.000 0.000
2.657 2.657 2.696
0.000 2.657 2.696
2.657 0.000 2.696
2.657 2.657 0.000
```

## Properties
Distance to the lowest polymorph of the same formula in eV/atom: 0.000
Formation energy (no corrections) in meV per atom: -707
DFT total energy in eV per cell: -16.91

---

Compound: CaInSe2Br
Source: Alexandria
Functional: PBE-GGA
Structure: relaxed

Structure (POSCAR):
```
CaInSe2Br
1.0
5.627 0.000 0.000
0.000 5.627 0.000
0.000 0.000 5.644
Ca In Se Br
1 1 2 1
Cartesian
0.000 0.000 0.000
2.814 2.814 2.822
0.000 2.814 0.000
2.814 0.000 0.000
0.000 0.000 2.822
```

## Properties
Distance to the lowest polymorph of the same formula in eV/atom: 0.157
Formation energy (no corrections) in meV per atom: -549
DFT total energy in eV per cell: -16.13

---

Compound: CaIn2SnBr6
Source: Alexandria
Functional: PBE-GGA
Structure: relaxed

Structure (POSCAR):
```
CaIn2SnBr6
1.0
3.995 2.306 6.736
-3.995 2.306 6.736
0.000 -4.613 6.736
Ca In Sn Br
1 2 1 6
Cartesian
0.000 0.000 0.000
0.000 0.000 4.257
0.000 0.000 14.300
0.000 0.000 10.088
-0.796 -2.443 8.562
-2.316 -0.472 11.972
-1.718 1.911 8.562
1.566 -1.770 11.972
2.514 0.532 8.562
0.749 2.241 11.972
```

## Properties
Formation energy (no corrections) in meV per atom: -1087
DFT total energy in eV per cell: -32.39

---

- What is the formula in the first record?
  RbCaIn2Br8